# 1
BaNaTaSe4, relaxed, DFT PBE-GGA; M_tot = 0.000 μB per cell; E = -5.371 eV/atom; density of states at the Fermi level = 0.0 states/eV/cell; SG = P2_1/m (11)
1.0
7.198 0.000 0.000
0.000 7.275 0.000
-2.769 0.000 8.490
Ba Na Ta Se
2 2 2 8
direct
0.240 0.250 0.434 Ba
0.760 0.750 0.566 Ba
0.268 0.250 0.950 Na
0.732 0.750 0.050 Na
0.274 0.750 0.189 Ta
0.726 0.250 0.811 Ta
0.080 0.750 0.367 Se
0.088 0.750 0.917 Se
0.497 0.008 0.248 Se
0.497 0.492 0.248 Se
0.503 0.508 0.752 Se
0.503 0.992 0.752 Se
0.912 0.250 0.083 Se
0.920 0.250 0.633 Se

=====

# 2
BaPI2, relaxed, DFT PBE-GGA; energy above the most stable polymorph in this dataset = 0.098 eV/atom; M_tot = 0.000 μB per cell; E = -3.003 eV/atom; density of states at the Fermi level = 3.4 states/eV/cell; SG = I-42d (122)
1.0
-2.810 2.810 10.384
2.810 -2.810 10.384
2.810 2.810 -10.384
Ba P I
2 2 4
direct
0.000 0.000 0.000 Ba
0.750 0.250 0.500 Ba
0.250 0.750 0.500 P
0.500 0.500 0.000 P
0.174 0.625 0.049 I
0.375 0.424 0.549 I
0.576 0.125 0.951 I
0.875 0.826 0.451 I

=====

# 3
TmAg7Pd4, relaxed, DFT PBE-GGA; M_tot = 0.000 μB per cell; E = -3.669 eV/atom; density of states at the Fermi level = 5.0 states/eV/cell; SG = C2/m (12); formation enthalpy at 0 K = 0.097 eV/atom
1.0
5.365 -2.548 0.000
5.365 2.548 0.000
-5.267 0.000 8.418
Tm Ag Pd
1 7 4
direct
0.000 0.000 0.000 Tm
0.045 0.045 0.379 Ag
0.211 0.211 0.909 Ag
0.342 0.342 0.442 Ag
0.500 0.500 0.000 Ag
0.658 0.658 0.558 Ag
0.789 0.789 0.091 Ag
0.955 0.955 0.621 Ag
0.286 0.286 0.686 Pd
0.424 0.424 0.224 Pd
0.576 0.576 0.776 Pd
0.714 0.714 0.314 Pd

=====

# 4
Zn2CdSe, relaxed, DFT PBE-GGA; energy above the most stable polymorph in this dataset = 0.153 eV/atom; M_tot = 0.000 μB per cell; E = -1.682 eV/atom; density of states at the Fermi level = 1.2 states/eV/cell; SG = C2/m (12)
1.0
2.711 -3.987 0.000
2.711 3.987 0.000
-0.387 0.000 3.736
Zn Cd Se
2 1 1
direct
0.000 0.500 0.000 Zn
0.500 0.000 0.000 Zn
0.000 0.000 0.500 Cd
0.500 0.500 0.500 Se

=====

# 5
Hg3P, relaxed, DFT PBE-GGA; energy above the most stable polymorph in this dataset = 0.371 eV/atom; M_tot = 0.000 μB per cell; E = -1.130 eV/atom; density of states at the Fermi level = 1.4 states/eV/cell; SG = I4/mmm (139); formation enthalpy at 0 K = 0.449 eV/atom
1.0
-2.230 2.230 4.473
2.230 -2.230 4.473
2.230 2.230 -4.473
Hg P
3 1
direct
0.000 0.000 0.000 Hg
0.250 0.750 0.500 Hg
0.750 0.250 0.500 Hg
0.500 0.500 0.000 P

=====

# 6
ZrCrCl2, relaxed, DFT PBE-GGA; energy above the most stable polymorph in this dataset = 0.427 eV/atom; M_tot = 4.168 μB per cell; E = -5.727 eV/atom; density of states at the Fermi level = 2.5 states/eV/cell; SG = Imm2 (44)
1.0
-1.573 2.246 6.219
1.573 -2.246 6.219
1.573 2.246 -6.219
Zr Cr Cl
1 1 2
direct
0.000 0.000 0.000 Zr
0.799 0.299 0.500 Cr
0.180 0.680 0.500 Cl
0.480 0.480 0.000 Cl

=====

# 7
Sr2AuBr2O2, relaxed, DFT PBE-GGA; M_tot = 0.000 μB per cell; E = -4.524 eV/atom; density of states at the Fermi level = 1.5 states/eV/cell; SG = I4/mmm (139)
1.0
-2.138 2.138 8.485
2.138 -2.138 8.485
2.138 2.138 -8.485
Sr Au Br O
2 1 2 2
direct
0.102 0.102 0.000 Sr
0.898 0.898 0.000 Sr
0.500 0.500 0.000 Au
0.314 0.314 0.000 Br
0.686 0.686 0.000 Br
0.000 0.500 0.500 O
0.500 0.000 0.500 O

=====

# 8
Pr2HgRuO8, relaxed, DFT PBE-GGA; M_tot = 0.000 μB per cell; E = -6.543 eV/atom; density of states at the Fermi level = 1.8 states/eV/cell; SG = P-1 (2)
1.0
4.795 0.000 0.000
-0.355 4.816 0.000
-0.503 -0.543 7.701
Pr Hg Ru O
2 1 1 8
direct
0.061 0.058 0.253 Pr
0.939 0.942 0.747 Pr
0.500 0.500 0.000 Hg
0.500 0.500 0.500 Ru
0.195 0.193 0.981 O
0.226 0.230 0.552 O
0.246 0.613 0.323 O
0.385 0.757 0.675 O
0.615 0.243 0.325 O
0.754 0.387 0.677 O
0.774 0.770 0.448 O
0.805 0.807 0.019 O

=====

# 9
PtI2BrN, relaxed, DFT PBE-GGA; energy above the most stable polymorph in this dataset = 0.000 eV/atom; M_tot = 0.000 μB per cell; E = -3.238 eV/atom; density of states at the Fermi level = 7.1 states/eV/cell; SG = P4/mmm (123)
1.0
5.893 0.000 0.000
0.000 5.893 0.000
0.000 0.000 3.706
Pt I Br N
1 2 1 1
direct
0.000 0.000 0.000 Pt
0.000 0.500 0.000 I
0.500 0.000 0.000 I
0.500 0.500 0.500 Br
0.000 0.000 0.500 N

=====

# 10
RbHg3W, relaxed, DFT PBE-GGA; energy above the most stable polymorph in this dataset = 1.025 eV/atom; M_tot = 5.025 μB per cell; E = -1.371 eV/atom; density of states at the Fermi level = 0.6 states/eV/cell; SG = Pm-3m (221); formation enthalpy at 0 K = 1.594 eV/atom
1.0
6.491 0.000 0.000
0.000 6.491 0.000
0.000 0.000 6.491
Rb Hg W
1 3 1
direct
0.000 0.000 0.000 Rb
0.000 0.000 0.500 Hg
0.000 0.500 0.000 Hg
0.500 0.000 0.000 Hg
0.500 0.500 0.500 W

=====

Question: Which value of M_tot does entry 8 give?
Answer: 0.000 μB per cell